First-principles (GGA-PBE) data for a relaxed structure of K3NaZr, as listed in Alexandria.

The structure belongs to space group Pm-3m (No. 221); the cell edges are 6.560, 6.560 and 6.560 Å and the angles 90.00°, 90.00° and 90.00°. The asymmetric unit holds K at (0.000, 0.000, 0.500), Na at (0.000, 0.000, 0.000) and Zr at (0.500, 0.500, 0.500).

For the calculated density, the calculation gives 1.36 Mg/m³. The density of states at the Fermi level comes out at 6.62 states/eV/f.u. The calculation puts the total magnetic moment at 0.783 μB per atom. Its calculated formation energy is 1040 meV per atom. As for the total energy: -1.59 eV per atom. The value obtained for the energy above the most stable polymorph in this dataset is 0.061 eV per atom.

=====

First-principles (GGA-PBE) data for a relaxed structure of KNaZr3, as listed in Alexandria.

The structure belongs to space group Pm-3m (No. 221); the cell edges are 5.313, 5.313 and 5.313 Å and the angles 90.00°, 90.00° and 90.00°. The asymmetric unit holds K at (0.000, 0.000, 0.000), Na at (0.500, 0.500, 0.500) and Zr at (0.000, 0.500, 0.500).

For the calculated density, the calculation gives 3.72 Mg/m³. The density of states at the Fermi level comes out at 8.36 states/eV/f.u. The calculation puts the total magnetic moment at 0.188 μB per atom. Its calculated formation energy is 1625 meV per atom. As for the total energy: -3.99 eV per atom. The value obtained for the energy above the most stable polymorph in this dataset is 0.000 eV per atom.

=====

First-principles (GGA-PBE) data for a relaxed structure of KNa2Zr, as listed in Alexandria.

The structure belongs to space group I-42d (No. 122); the cell edges are 9.086, 9.086 and 7.266 Å and the angles 90.00°, 90.00° and 90.00°. The asymmetric unit holds K at (0.000, 0.000, 0.000), Na at (0.247, 0.250, 0.625) and Zr at (0.000, 0.000, 0.500).

For the calculated density, the calculation gives 1.95 Mg/m³. The density of states at the Fermi level comes out at 7.04 states/eV/f.u. The calculation puts the total magnetic moment at 0.682 μB per atom. Its calculated formation energy is 962 meV per atom. As for the total energy: -2.11 eV per atom. The value obtained for the energy above the most stable polymorph in this dataset is 0.406 eV per atom.

=====

First-principles (GGA-PBE) data for a relaxed structure of KNa2Zr, as listed in Alexandria.

The structure belongs to space group R-3m (No. 166, hexagonal axes); the cell edges are 3.3184, 3.3184 and 41.9381 Å and the angles 90.00°, 90.00° and 120.00°. The asymmetric unit holds K at (0.0000, 0.0000, 0.0000), Na at (0.0000, 0.0000, 0.4228) and Zr at (0.0000, 0.0000, 0.5000).

For the calculated density, the calculation gives 2.20 Mg/m³. The density of states at the Fermi level comes out at 3.72 states/eV/f.u. The calculation puts the total magnetic moment at 0.000 μB per atom. Its calculated formation energy is 557 meV per atom. As for the total energy: -2.51 eV per atom. The value obtained for the energy above the most stable polymorph in this dataset is 0.000 eV per atom.

=====

First-principles (GGA-PBE) data for a relaxed structure of K3Nb, as listed in Alexandria.

The structure belongs to space group I4/mmm (No. 139); the cell edges are 6.231, 6.231 and 9.719 Å and the angles 90.00°, 90.00° and 90.00°. The asymmetric unit holds K at (0.000, 0.000, 0.000), K at (0.000, 0.500, 0.250) and Nb at (0.000, 0.000, 0.500).

For the calculated density, the calculation gives 1.85 Mg/m³. The density of states at the Fermi level comes out at 4.41 states/eV/f.u. The calculation puts the total magnetic moment at 1.352 μB per atom. Its calculated formation energy is 1119 meV per atom. As for the total energy: -2.22 eV per atom. The value obtained for the energy above the most stable polymorph in this dataset is 0.000 eV per atom.

=====

First-principles (GGA-PBE) data for a relaxed structure of KNb, as listed in Alexandria.

The structure belongs to space group F-43m (No. 216); the cell edges are 8.137, 8.137 and 8.137 Å and the angles 90.00°, 90.00° and 90.00°. The asymmetric unit holds K at (0.000, 0.000, 0.000) and Nb at (0.250, 0.250, 0.750).

For the calculated density, the calculation gives 1.63 Mg/m³. The density of states at the Fermi level comes out at 10.29 states/eV/f.u. The calculation puts the total magnetic moment at 2.512 μB per atom. Its calculated formation energy is 2908 meV per atom. As for the total energy: -2.68 eV per atom. The value obtained for the energy above the most stable polymorph in this dataset is 2.031 eV per atom.

=====

First-principles (GGA-PBE) data for a relaxed structure of KNb, as listed in Alexandria.

The structure belongs to space group I4/m (No. 87); the cell edges are 15.678, 15.678 and 3.112 Å and the angles 90.00°, 90.00° and 90.00°. The asymmetric unit holds K at (0.035, 0.710, 0.000) and Nb at (0.189, 0.243, 0.000).

For the calculated density, the calculation gives 2.29 Mg/m³. The density of states at the Fermi level comes out at 1.76 states/eV/f.u. The calculation puts the total magnetic moment at 0.000 μB per atom. Its calculated formation energy is 1214 meV per atom. As for the total energy: -4.37 eV per atom. The value obtained for the energy above the most stable polymorph in this dataset is 0.336 eV per atom.

=====

First-principles (GGA-PBE) data for a relaxed structure of KNb2, as listed in Alexandria.

The structure belongs to space group C2/m (No. 12); the cell edges are 8.682, 6.048 and 8.064 Å and the angles 90.00°, 120.64° and 90.00°. The asymmetric unit holds K at (0.196, 0.000, 0.003), Nb at (0.000, 0.250, 0.500) and Nb at (0.242, 0.500, 0.483).

For the calculated density, the calculation gives 4.10 Mg/m³. The density of states at the Fermi level comes out at 2.40 states/eV/f.u. The calculation puts the total magnetic moment at 0.000 μB per atom. Its calculated formation energy is 898 meV per atom. As for the total energy: -6.18 eV per atom. The value obtained for the energy above the most stable polymorph in this dataset is 0.441 eV per atom.